(1)
A PBEsol-optimized structure of BaHfGaBi2. Source: the Alexandria database, functional SCAN.

Geometry as POSCAR:
```
BaHfGaBi2
1.0
5.598 0.000 0.000
0.000 6.128 0.000
0.000 0.000 6.128
Hf Bi Ga Ba
1 2 1 1
direct
0.500 0.000 0.000
0.000 0.000 0.500
0.000 0.500 0.000
0.500 0.500 0.500
0.000 0.000 0.000
```

Spin magnetization = 0.00 μB/f.u.
ΔE_f = 1.60 eV/atom
V = 210.2 Å³/f.u.
Total energy = -53.55 eV/atom


(2)
A PBEsol-optimized structure of Ba2InGaBi. Source: the Alexandria database, functional SCAN.

Geometry as POSCAR:
```
Ba2InGaBi
1.0
-4.669 -1.607 -2.746
-0.419 -5.351 3.846
-3.695 3.382 4.303
In Bi Ga Ba
1 1 1 2
direct
0.500 0.000 0.000
0.000 0.000 0.000
0.500 0.500 0.500
0.000 0.000 0.500
0.000 0.500 0.000
```

Spin magnetization = 0.01 μB/f.u.
ΔE_f = 0.01 eV/atom
V = 246.3 Å³/f.u.
Total energy = -41.47 eV/atom


(3)
A PBEsol-optimized structure of BaNaGaBi2. Source: the Alexandria database, functional SCAN.

Geometry as POSCAR:
```
BaNaGaBi2
1.0
-4.076 2.556 3.630
3.627 -1.297 4.986
2.896 5.557 -0.661
Na Bi Ga Ba
1 2 1 1
direct
0.500 0.500 0.500
0.000 0.000 0.500
0.000 0.500 0.000
0.500 0.000 0.000
0.000 0.000 0.000
```

Spin magnetization = 0.00 μB/f.u.
ΔE_f = 0.53 eV/atom
V = 239.3 Å³/f.u.
Total energy = -42.93 eV/atom


(4)
A PBEsol-optimized structure of Ba2Ga11BiO20. Source: the Alexandria database, functional SCAN.

Geometry as POSCAR:
```
Ba2Ga11BiO20
1.0
5.114 -0.020 -0.016
2.394 9.458 -0.007
2.394 2.202 9.199
Ba Ga Bi O
2 11 1 20
direct
0.002 0.000 0.000
0.246 0.715 0.715
0.495 0.364 0.635
0.495 0.635 0.364
0.157 0.578 0.152
0.841 0.851 0.426
0.841 0.426 0.851
0.157 0.152 0.578
0.346 0.285 0.012
0.654 0.992 0.718
0.654 0.718 0.992
0.346 0.012 0.285
0.987 0.495 0.495
0.663 0.290 0.290
0.379 0.398 0.132
0.658 0.869 0.607
0.658 0.607 0.869
0.379 0.132 0.398
0.603 0.559 0.559
0.383 0.425 0.425
0.984 0.007 0.300
0.016 0.708 0.000
0.016 0.000 0.708
0.984 0.300 0.007
0.107 0.685 0.448
0.873 0.533 0.300
0.873 0.300 0.533
0.107 0.448 0.685
0.488 0.102 0.102
0.531 0.908 0.908
0.573 0.334 0.832
0.414 0.170 0.676
0.414 0.676 0.170
0.573 0.832 0.334
```

Spin magnetization = 0.16 μB/f.u.
V = 445.8 Å³/f.u.
Total energy = -15.74 eV/atom


(5)
A PBEsol-optimized structure of Ba2GaBiS5. Source: the Alexandria database, functional SCAN.

Geometry as POSCAR:
```
Ba2GaBiS5
1.0
-6.655 -5.780 -0.942
2.457 -4.045 7.458
-7.230 7.293 6.336
Ba Ga Bi S
8 4 4 20
direct
0.009 0.115 0.822
0.491 0.385 0.322
0.509 0.885 0.178
0.991 0.615 0.678
0.991 0.885 0.178
0.509 0.615 0.678
0.491 0.115 0.822
0.009 0.385 0.322
0.250 0.329 0.594
0.250 0.171 0.094
0.750 0.671 0.406
0.750 0.829 0.906
0.250 0.955 0.514
0.250 0.545 0.014
0.750 0.045 0.486
0.750 0.455 0.986
0.048 0.175 0.553
0.452 0.325 0.053
0.548 0.825 0.447
0.952 0.675 0.947
0.952 0.825 0.447
0.548 0.675 0.947
0.452 0.175 0.553
0.048 0.325 0.053
0.250 0.870 0.717
0.250 0.630 0.217
0.750 0.130 0.283
0.750 0.370 0.783
0.250 0.380 0.777
0.250 0.120 0.277
0.750 0.620 0.223
0.750 0.880 0.723
0.250 0.962 0.993
0.250 0.538 0.493
0.750 0.038 0.007
0.750 0.462 0.507
```

Spin magnetization = 0.00 μB/f.u.
V = 236.2 Å³/f.u.
Total energy = -26.14 eV/atom


(6)
A PBEsol-optimized structure of Ba2GaBiSe5. Source: the Alexandria database, functional SCAN.

Geometry as POSCAR:
```
Ba2GaBiSe5
1.0
-6.990 5.800 -1.146
0.721 -0.927 -9.086
-8.071 -9.658 0.346
Ba Ga Bi Se
8 4 4 20
direct
0.008 0.116 0.823
0.492 0.384 0.323
0.508 0.884 0.177
0.992 0.616 0.677
0.992 0.884 0.177
0.508 0.616 0.677
0.492 0.116 0.823
0.008 0.384 0.323
0.250 0.334 0.597
0.250 0.166 0.097
0.750 0.666 0.403
0.750 0.834 0.903
0.250 0.961 0.521
0.250 0.539 0.021
0.750 0.039 0.479
0.750 0.461 0.979
0.041 0.178 0.557
0.459 0.322 0.057
0.541 0.822 0.443
0.959 0.678 0.943
0.959 0.822 0.443
0.541 0.678 0.943
0.459 0.178 0.557
0.041 0.322 0.057
0.250 0.870 0.723
0.250 0.630 0.223
0.750 0.130 0.277
0.750 0.370 0.777
0.250 0.384 0.783
0.250 0.116 0.283
0.750 0.616 0.217
0.750 0.884 0.717
0.250 0.954 0.991
0.250 0.546 0.491
0.750 0.046 0.009
0.750 0.454 0.509
```

Spin magnetization = 0.00 μB/f.u.
V = 264.0 Å³/f.u.
Total energy = -31.86 eV/atom


(7)
A PBEsol-optimized structure of Ba2GaBiTe5. Source: the Alexandria database, functional SCAN.

Geometry as POSCAR:
```
Ba2GaBiTe5
1.0
-2.824 -2.426 -8.881
-4.745 -7.692 3.610
-11.105 7.540 1.471
Ba Ga Bi Te
8 4 4 20
direct
0.007 0.116 0.824
0.493 0.384 0.324
0.507 0.884 0.176
0.993 0.616 0.676
0.993 0.884 0.176
0.507 0.616 0.676
0.493 0.116 0.824
0.007 0.384 0.324
0.250 0.337 0.601
0.250 0.163 0.101
0.750 0.663 0.399
0.750 0.837 0.899
0.250 0.967 0.527
0.250 0.533 0.027
0.750 0.033 0.473
0.750 0.467 0.973
0.032 0.180 0.560
0.468 0.320 0.060
0.532 0.820 0.440
0.968 0.680 0.940
0.968 0.820 0.440
0.532 0.680 0.940
0.468 0.180 0.560
0.032 0.320 0.060
0.250 0.869 0.729
0.250 0.631 0.229
0.750 0.131 0.271
0.750 0.369 0.771
0.250 0.388 0.791
0.250 0.112 0.291
0.750 0.612 0.209
0.750 0.888 0.709
0.250 0.948 0.991
0.250 0.552 0.491
0.750 0.052 0.009
0.750 0.448 0.509
```

Spin magnetization = 0.00 μB/f.u.
V = 316.4 Å³/f.u.
Total energy = -41.08 eV/atom


(8)
A PBEsol-optimized structure of Ba2GdBiO6. Source: the Alexandria database, functional SCAN.

Geometry as POSCAR:
```
Ba2GdBiO6
1.0
-1.429 3.513 -4.805
-5.400 2.878 -0.189
-0.249 6.085 0.624
Gd Bi O Ba
1 1 6 2
direct
0.500 0.500 0.500
0.000 0.000 0.000
0.757 0.243 0.243
0.243 0.243 0.757
0.757 0.757 0.243
0.243 0.757 0.243
0.243 0.757 0.757
0.757 0.243 0.757
0.750 0.750 0.750
0.250 0.250 0.250
```

Spin magnetization = 7.00 μB/f.u.
V = 162.2 Å³/f.u.
Total energy = -27.95 eV/atom


(9)
A PBEsol-optimized structure of BaBi2H. Source: the Alexandria database, functional SCAN.

Geometry as POSCAR:
```
BaBi2H
1.0
6.942 0.000 0.000
3.471 6.012 0.000
3.471 2.004 5.668
H Bi Ba
2 4 2
direct
0.250 0.250 0.250
0.000 0.000 0.000
0.125 0.125 0.625
0.125 0.125 0.125
0.625 0.125 0.125
0.125 0.625 0.125
0.750 0.750 0.750
0.500 0.500 0.500
```

Spin magnetization = 0.00 μB/f.u.
V = 118.3 Å³/f.u.
Total energy = -50.15 eV/atom


(10)
A PBEsol-optimized structure of BaHfBiSb2. Source: the Alexandria database, functional SCAN.

Geometry as POSCAR:
```
BaHfBiSb2
1.0
5.397 0.000 0.000
0.000 5.931 0.000
0.000 0.000 5.931
Sb Hf Bi Ba
2 1 1 1
direct
0.000 0.000 0.500
0.000 0.500 0.000
0.500 0.000 0.000
0.000 0.000 0.000
0.500 0.500 0.500
```

Spin magnetization = 0.01 μB/f.u.
V = 189.9 Å³/f.u.
Total energy = -50.62 eV/atom


(11)
A PBEsol-optimized structure of BaHg2Bi. Source: the Alexandria database, functional SCAN.

Geometry as POSCAR:
```
BaHg2Bi
1.0
-0.575 4.155 2.751
-4.508 -1.613 1.495
7.191 -6.311 6.461
Ba Bi Hg
2 2 4
direct
0.750 0.250 0.500
0.500 0.500 0.000
0.250 0.750 0.500
0.000 0.000 0.000
0.295 0.875 0.250
0.955 0.375 0.250
0.125 0.045 0.750
0.625 0.705 0.750
```

Spin magnetization = 0.00 μB/f.u.
ΔE_f = -0.47 eV/atom
V = 138.2 Å³/f.u.
Total energy = -64.08 eV/atom


(12)
A PBEsol-optimized structure of Ba2BiI. Source: the Alexandria database, functional SCAN.

Geometry as POSCAR:
```
Ba2BiI
1.0
6.024 0.000 0.000
3.012 5.217 0.000
3.012 1.739 4.919
I Bi Ba
1 1 2
direct
0.000 0.000 0.000
0.500 0.500 0.500
0.250 0.250 0.250
0.750 0.750 0.750
```

Spin magnetization = 0.05 μB/f.u.
V = 154.6 Å³/f.u.
Total energy = -49.97 eV/atom